1.
# La2CuO2 PBE relaxed
# DOS(E_F)   0.423 states/eV/atom
# Size of the total moment   0.00 Bohr magnetons per cell
# Mass density   5.8 g/cm3
# E_form (uncorrected)   -218.6 kJ/mol of atoms
data_La2CuO2
_space_group_name_H-M_alt 'I 4/m m m'
_space_group_IT_number 139
_space_group_name_Hall '-I 4 2'
_cell_length_a 4.0978
_cell_length_b 4.0978
_cell_length_c 12.7368
_cell_angle_alpha 90.00
_cell_angle_beta 90.00
_cell_angle_gamma 90.00
loop_
_atom_site_label
_atom_site_type_symbol
_atom_site_fract_x
_atom_site_fract_y
_atom_site_fract_z
La1 La 0.0000 0.0000 0.1552
Cu1 Cu 0.0000 0.0000 0.5000
O1 O 0.0000 0.5000 0.2500

***

2.
# La8Cu3O16 PBE relaxed
# DOS(E_F)   0.191 states/eV/atom
# Size of the total moment   0.00 Bohr magnetons per cell
# Energy above the most stable polymorph in this dataset   0 meV/atom
# Mass density   6.9 g/cm3
# E_form (uncorrected)   -255.3 kJ/mol of atoms
data_La8Cu3O16
_space_group_name_H-M_alt 'P 1'
_space_group_IT_number 1
_space_group_name_Hall 'P 1'
_cell_length_a 7.0931
_cell_length_b 7.5460
_cell_length_c 8.4181
_cell_angle_alpha 63.48
_cell_angle_beta 69.20
_cell_angle_gamma 74.61
loop_
_atom_site_label
_atom_site_type_symbol
_atom_site_fract_x
_atom_site_fract_y
_atom_site_fract_z
La1 La 0.0000 0.0000 0.0000
La2 La 0.0010 0.5169 0.0023
La3 La 0.0023 0.2439 0.5152
La4 La 0.0091 0.7608 0.5152
La5 La 0.5488 0.9308 0.8643
La6 La 0.5550 0.4483 0.8633
La7 La 0.5563 0.1739 0.3771
La8 La 0.5580 0.6913 0.3784
Cu1 Cu 0.2782 0.5957 0.1897
Cu2 Cu 0.2792 0.0958 0.1893
Cu3 Cu 0.2788 0.3457 0.6895
O1 O 0.2713 0.2202 0.9420
O2 O 0.2740 0.7185 0.9451
O3 O 0.2781 0.8459 0.1897
O4 O 0.2786 0.1039 0.6879
O5 O 0.2791 0.5875 0.6910
O6 O 0.2795 0.3456 0.1893
O7 O 0.2834 0.9731 0.4338
O8 O 0.2864 0.4712 0.4370
O9 O 0.6440 0.5554 0.0852
O10 O 0.6446 0.0471 0.1051
O11 O 0.6450 0.3002 0.6010
O12 O 0.6531 0.7970 0.5974
O13 O 0.9047 0.8943 0.7814
O14 O 0.9124 0.3911 0.7789
O15 O 0.9131 0.1373 0.2940
O16 O 0.9135 0.6419 0.2746

***

3.
# LaCu2O PBE relaxed
# DOS(E_F)   0.408 states/eV/atom
# Size of the total moment   0.00 Bohr magnetons per cell
# Mass density   6.7 g/cm3
# E_form (uncorrected)   -106.5 kJ/mol of atoms
data_LaCu2O
_space_group_name_H-M_alt 'I -4 2 d'
_space_group_IT_number 122
_space_group_name_Hall 'I -4 2bw'
_cell_length_a 3.4445
_cell_length_b 3.4445
_cell_length_c 23.5983
_cell_angle_alpha 90.00
_cell_angle_beta 90.00
_cell_angle_gamma 90.00
loop_
_atom_site_label
_atom_site_type_symbol
_atom_site_fract_x
_atom_site_fract_y
_atom_site_fract_z
La1 La 0.0000 0.0000 0.0000
Cu1 Cu 0.2486 0.2500 0.6250
O1 O 0.0000 0.0000 0.5000

***

4.
# La8Cu3O16 PBE relaxed
# DOS(E_F)   0.065 states/eV/atom
# Size of the total moment   0.98 Bohr magnetons per cell
# Energy above the most stable polymorph in this dataset   63 meV/atom
# Mass density   6.1 g/cm3
# E_form (uncorrected)   -249.3 kJ/mol of atoms
data_La8Cu3O16
_space_group_name_H-M_alt 'P -1'
_space_group_IT_number 2
_space_group_name_Hall '-P 1'
_cell_length_a 6.9729
_cell_length_b 8.0551
_cell_length_c 9.1349
_cell_angle_alpha 103.03
_cell_angle_beta 111.55
_cell_angle_gamma 107.26
loop_
_atom_site_label
_atom_site_type_symbol
_atom_site_fract_x
_atom_site_fract_y
_atom_site_fract_z
La1 La 0.0152 0.0936 0.3267
La2 La 0.0270 0.5827 0.3256
La3 La 0.4674 0.1663 0.1669
La4 La 0.4818 0.6578 0.1772
Cu1 Cu 0.0155 0.2585 0.0162
Cu2 Cu 0.5000 0.5000 0.5000
O1 O 0.0000 0.0000 0.0000
O2 O 0.0000 0.5000 0.0000
O3 O 0.1162 0.1897 0.6271
O4 O 0.1334 0.6813 0.6253
O5 O 0.2689 0.3927 0.2691
O6 O 0.3719 0.0673 0.3755
O7 O 0.3718 0.5583 0.8783
O8 O 0.3850 0.0645 0.8716
O9 O 0.4896 0.7460 0.4817

***

5.
# La5Cu5O13 PBE relaxed
# DOS(E_F)   0.302 states/eV/atom
# Size of the total moment   0.00 Bohr magnetons per cell
# Mass density   7.1 g/cm3
# E_form (uncorrected)   -204.1 kJ/mol of atoms
data_La5Cu5O13
_space_group_name_H-M_alt 'P 4/m'
_space_group_IT_number 83
_space_group_name_Hall '-P 4'
_cell_length_a 8.5415
_cell_length_b 8.5415
_cell_length_c 3.9099
_cell_angle_alpha 90.00
_cell_angle_beta 90.00
_cell_angle_gamma 90.00
loop_
_atom_site_label
_atom_site_type_symbol
_atom_site_fract_x
_atom_site_fract_y
_atom_site_fract_z
La1 La 0.0000 0.0000 0.0000
La2 La 0.2237 0.6370 0.0000
Cu1 Cu 0.0767 0.3325 0.5000
Cu2 Cu 0.5000 0.5000 0.5000
O1 O 0.0755 0.3230 0.0000
O2 O 0.1067 0.7932 0.5000
O3 O 0.2618 0.4582 0.5000
O4 O 0.5000 0.5000 0.0000

***

6.
# La12Cu6O25 PBE relaxed
# DOS(E_F)   0.214 states/eV/atom
# Size of the total moment   0.00 Bohr magnetons per cell
# Mass density   7.0 g/cm3
# E_form (uncorrected)   -244.4 kJ/mol of atoms
data_La12Cu6O25
_space_group_name_H-M_alt 'C 1 2 1'
_space_group_IT_number 5
_space_group_name_Hall 'C 2y'
_cell_length_a 12.2024
_cell_length_b 13.0612
_cell_length_c 7.7246
_cell_angle_alpha 90.00
_cell_angle_beta 108.58
_cell_angle_gamma 90.00
loop_
_atom_site_label
_atom_site_type_symbol
_atom_site_fract_x
_atom_site_fract_y
_atom_site_fract_z
La1 La 0.0038 0.0000 0.2447
La2 La 0.0066 0.7178 0.7526
La3 La 0.1612 0.2194 0.5852
La4 La 0.1621 0.2211 0.0813
La5 La 0.1646 0.5033 0.5877
La6 La 0.1646 0.5072 0.1013
Cu1 Cu 0.9996 0.3656 0.2511
Cu2 Cu 0.1670 0.8597 0.5828
Cu3 Cu 0.1684 0.8610 0.0839
O1 O 0.0000 0.3482 0.5000
O2 O 0.0000 0.3681 0.0000
O3 O 0.0000 0.6182 0.0000
O4 O 0.0000 0.8490 0.0000
O5 O 0.0000 0.8668 0.5000
O6 O 0.0037 0.1793 0.7437
O7 O 0.0154 0.5403 0.3174
O8 O 0.1432 0.0410 0.0909
O9 O 0.1651 0.8673 0.8347
O10 O 0.1658 0.3616 0.3342
O11 O 0.1658 0.3817 0.8405
O12 O 0.1665 0.8452 0.3310
O13 O 0.1719 0.6843 0.6208
O14 O 0.1739 0.0396 0.5646
O15 O 0.2260 0.6776 0.1039